The following is a DFT calculation (PBE) of crystalline Tl2TeBr at its relaxed geometry.

The value obtained for the density of states at the Fermi level is 0.190 states/eV/atom. The raw total energy is -11.03 eV per cell. The total moment is 0.000 μB/f.u.

Cell: 7.7164 7.7164 7.7164 Å, 152.90 136.51 52.00°
Fractional positions:
1 Tl 0.0191 0.0191 0.0000
2 Tl 0.7175 0.2175 0.5000
3 Te 0.2373 0.7373 0.5000
4 Br 0.5261 0.5261 0.0000